Material: MnGaClF2
Method: DFT, PBE with a Hubbard U
State: relaxed

a = 4.217 Å, b = 5.277 Å, c = 4.217 Å
α = 90.00°, β = 90.00°, γ = 90.00°
Sites, in units of the cell vectors:
F (0.000, 0.000, 0.500)
F (0.500, 0.000, 0.000)
Mn (0.000, 0.000, 0.000)
Ga (0.500, 0.500, 0.500)
Cl (0.000, 0.500, 0.000)

Output
Fermi-level density of states (states/eV/f.u.): 0.00
Crystal system: tetragonal
Uncorrected energy (eV/atom): -5.010